Compound: Nd2Al7Au12
Source: Alexandria
Functional: PBE
Structure: relaxed

```
data_Nd2Al7Au12
_chemical_formula_sum 'Nd2 Al7 Au12'
_cell_length_a 10.3468
_cell_length_b 10.3468
_cell_length_c 4.2912
_cell_angle_alpha 90.00
_cell_angle_beta 90.00
_cell_angle_gamma 120.00
_space_group_name_H-M_alt 'P -6'
_space_group_IT_number 174
_space_group_name_Hall 'P -6'
loop_
_atom_site_label
_atom_site_fract_x
_atom_site_fract_y
_atom_site_fract_z
Nd1 0.0000 0.0000 0.0000
Nd2 0.3333 0.6667 0.5000
Al1 0.0367 0.4565 0.0000
Al2 0.2661 0.2500 0.5000
Al3 0.6667 0.3333 0.0000
Au1 0.0241 0.2568 0.5000
Au2 0.1490 0.7449 0.0000
Au3 0.3777 0.1995 0.0000
Au4 0.5599 0.4365 0.5000
```

Output
Total magnetic moment, μB per formula unit: 0.000
DOS at the Fermi energy, states/eV/f.u.: 10.866
Formation energy, meV per atom: -522
Raw total energy, eV per atom: -4.0961



Compound: NdAl4Au2
Source: Alexandria
Functional: PBE
Structure: relaxed

```
data_NdAl4Au2
_chemical_formula_sum 'Nd4 Al16 Au8'
_cell_length_a 17.470
_cell_length_b 4.407
_cell_length_c 6.901
_cell_angle_alpha 90.00
_cell_angle_beta 90.00
_cell_angle_gamma 90.00
_space_group_name_H-M_alt 'P n m a'
_space_group_IT_number 62
_space_group_name_Hall '-P 2ac 2n'
loop_
_atom_site_label
_atom_site_fract_x
_atom_site_fract_y
_atom_site_fract_z
Nd1 0.140 0.250 0.009
Al1 0.035 0.750 0.848
Al2 0.067 0.250 0.477
Al3 0.184 0.750 0.322
Al4 0.189 0.750 0.722
Au1 0.036 0.750 0.250
Au2 0.216 0.250 0.525
```

Output
Total magnetic moment, μB per formula unit: 0.000
DOS at the Fermi energy, states/eV/f.u.: 1.845
Formation energy, meV per atom: -590
Raw total energy, eV per atom: -4.3458
Energy above the lowest structure with this stoichiometry, eV/atom: 0.0000



Compound: Nd2AlAu6
Source: Alexandria
Functional: PBE
Structure: relaxed

```
data_Nd2AlAu6
_chemical_formula_sum 'Nd2 Al1 Au6'
_cell_length_a 6.3761
_cell_length_b 6.3761
_cell_length_c 5.4900
_cell_angle_alpha 90.00
_cell_angle_beta 90.00
_cell_angle_gamma 120.00
_space_group_name_H-M_alt 'P -3 m 1'
_space_group_IT_number 164
_space_group_name_Hall '-P 3 2"'
loop_
_atom_site_label
_atom_site_fract_x
_atom_site_fract_y
_atom_site_fract_z
Nd1 0.3333 0.6667 0.1761
Al1 0.0000 0.0000 0.0000
Au1 0.1797 0.3594 0.6958
```

Output
Total magnetic moment, μB per formula unit: 0.000
DOS at the Fermi energy, states/eV/f.u.: 4.088
Formation energy, meV per atom: -658
Raw total energy, eV per atom: -4.3182



Compound: Nd5AlAu4
Source: Alexandria
Functional: PBE
Structure: relaxed

```
data_Nd5AlAu4
_chemical_formula_sum 'Nd5 Al1 Au4'
_cell_length_a 3.703
_cell_length_b 3.703
_cell_length_c 18.764
_cell_angle_alpha 90.00
_cell_angle_beta 90.00
_cell_angle_gamma 90.00
_space_group_name_H-M_alt 'P 4/m m m'
_space_group_IT_number 123
_space_group_name_Hall '-P 4 2'
loop_
_atom_site_label
_atom_site_fract_x
_atom_site_fract_y
_atom_site_fract_z
Nd1 0.000 0.000 0.000
Nd2 0.000 0.000 0.199
Nd3 0.000 0.000 0.398
Al1 0.500 0.500 0.500
Au1 0.500 0.500 0.099
Au2 0.500 0.500 0.301
```

Output
Total magnetic moment, μB per formula unit: 0.000
DOS at the Fermi energy, states/eV/f.u.: 6.898
Formation energy, meV per atom: -680
Raw total energy, eV per atom: -4.7487



Compound: NdAl4Au8
Source: Alexandria
Functional: PBE
Structure: relaxed

```
data_NdAl4Au8
_chemical_formula_sum 'Nd2 Al8 Au16'
_cell_length_a 9.280
_cell_length_b 9.280
_cell_length_c 5.511
_cell_angle_alpha 90.00
_cell_angle_beta 90.00
_cell_angle_gamma 90.00
_space_group_name_H-M_alt 'I 4/m m m'
_space_group_IT_number 139
_space_group_name_Hall '-I 4 2'
loop_
_atom_site_label
_atom_site_fract_x
_atom_site_fract_y
_atom_site_fract_z
Nd1 0.000 0.000 0.000
Al1 0.250 0.250 0.250
Au1 0.000 0.219 0.500
Au2 0.000 0.330 0.000
```

Output
Total magnetic moment, μB per formula unit: 0.000
DOS at the Fermi energy, states/eV/f.u.: 6.430
Formation energy, meV per atom: -472
Raw total energy, eV per atom: -4.0074



Compound: Nd4Al12Au
Source: Alexandria
Functional: PBE
Structure: relaxed

```
data_Nd4Al12Au
_chemical_formula_sum 'Nd8 Al24 Au2'
_cell_length_a 8.852
_cell_length_b 8.852
_cell_length_c 8.852
_cell_angle_alpha 90.00
_cell_angle_beta 90.00
_cell_angle_gamma 90.00
_space_group_name_H-M_alt 'I m -3 m'
_space_group_IT_number 229
_space_group_name_Hall '-I 4 2 3'
loop_
_atom_site_label
_atom_site_fract_x
_atom_site_fract_y
_atom_site_fract_z
Nd1 0.250 0.250 0.250
Al1 0.000 0.000 0.302
Al2 0.000 0.250 0.500
Au1 0.000 0.000 0.000
```

Output
Total magnetic moment, μB per formula unit: 0.000
DOS at the Fermi energy, states/eV/f.u.: 2.193
Formation energy, meV per atom: -478
Raw total energy, eV per atom: -4.4344



Compound: Nd2AlAu7
Source: Alexandria
Functional: PBE
Structure: relaxed

```
data_Nd2AlAu7
_chemical_formula_sum 'Nd2 Al1 Au7'
_cell_length_a 4.035
_cell_length_b 4.035
_cell_length_c 13.343
_cell_angle_alpha 90.00
_cell_angle_beta 90.00
_cell_angle_gamma 90.00
_space_group_name_H-M_alt 'P -4 m 2'
_space_group_IT_number 115
_space_group_name_Hall 'P -4 -2'
loop_
_atom_site_label
_atom_site_fract_x
_atom_site_fract_y
_atom_site_fract_z
Nd1 0.000 0.500 0.247
Al1 0.500 0.500 0.000
Au1 0.000 0.000 0.000
Au2 0.000 0.000 0.500
Au3 0.000 0.500 0.651
Au4 0.000 0.500 0.857
Au5 0.500 0.500 0.500
```

Output
Total magnetic moment, μB per formula unit: 0.000
DOS at the Fermi energy, states/eV/f.u.: 4.633
Formation energy, meV per atom: -527
Raw total energy, eV per atom: -4.1488



Compound: NdAlAu
Source: Alexandria
Functional: PBE
Structure: relaxed

```
data_NdAlAu
_chemical_formula_sum 'Nd12 Al12 Au12'
_cell_length_a 4.612
_cell_length_b 22.623
_cell_length_c 7.807
_cell_angle_alpha 90.00
_cell_angle_beta 90.00
_cell_angle_gamma 90.00
_space_group_name_H-M_alt 'I m m 2'
_space_group_IT_number 44
_space_group_name_Hall 'I 2 -2'
loop_
_atom_site_label
_atom_site_fract_x
_atom_site_fract_y
_atom_site_fract_z
Nd1 0.000 0.000 0.000
Nd2 0.000 0.164 0.907
Nd3 0.000 0.330 0.006
Nd4 0.000 0.500 0.911
Al1 0.000 0.105 0.290
Al2 0.000 0.273 0.623
Al3 0.000 0.438 0.291
Au1 0.000 0.073 0.617
Au2 0.000 0.234 0.295
Au3 0.000 0.399 0.621
```

Output
Total magnetic moment, μB per formula unit: 0.000
DOS at the Fermi energy, states/eV/f.u.: 2.041
Formation energy, meV per atom: -743
Raw total energy, eV per atom: -4.6725